1.
Here is a relaxed Nd2Zn3GaPt4 crystal from Alexandria. Energies are from PBE.

Calculated values
V, Å³/atom: 19.25
ΔH_f (0 K), eV per atom: -0.810
SG: P-4m2 (115)

Unit cell a=4.260 b=4.260 c=10.610 alpha=90.00 beta=90.00 gamma=90.00
Positions (direct):
Nd1 0.000 0.500 0.244
Nd2 0.500 0.000 0.756
Zn1 0.000 0.500 0.868
Zn2 0.500 0.000 0.132
Zn3 0.500 0.500 0.500
Ga1 0.000 0.000 0.500
Pt1 0.000 0.000 0.000
Pt2 0.000 0.500 0.634
Pt3 0.500 0.000 0.366
Pt4 0.500 0.500 0.000

2.
Here is a relaxed Nd2Zn3Ga4Pt crystal from Alexandria. Energies are from PBE.

Calculated values
V, Å³/atom: 19.26
ΔH_f (0 K), eV per atom: -0.585
SG: P-4m2 (115)

Unit cell a=4.254 b=4.254 c=10.640 alpha=90.00 beta=90.00 gamma=90.00
Positions (direct):
Nd1 0.000 0.500 0.249
Nd2 0.500 0.000 0.751
Zn1 0.000 0.000 0.000
Zn2 0.000 0.500 0.636
Zn3 0.500 0.000 0.364
Ga1 0.000 0.000 0.500
Ga2 0.000 0.500 0.867
Ga3 0.500 0.000 0.133
Ga4 0.500 0.500 0.500
Pt1 0.500 0.500 0.000

3.
Here is a relaxed NdZnGa2Pt5 crystal from Alexandria. Energies are from PBE.

Calculated values
V, Å³/atom: 18.40
ΔH_f (0 K), eV per atom: -0.431
SG: P4/mmm (123)

Unit cell a=4.725 b=4.725 c=7.417 alpha=90.00 beta=90.00 gamma=90.00
Positions (direct):
Nd1 0.000 0.000 0.000
Zn1 0.000 0.000 0.500
Ga1 0.500 0.500 0.338
Ga2 0.500 0.500 0.662
Pt1 0.000 0.500 0.271
Pt2 0.000 0.500 0.729
Pt3 0.500 0.000 0.271
Pt4 0.500 0.000 0.729
Pt5 0.500 0.500 0.000

4.
Here is a relaxed NdZnGa2Pt2 crystal from Alexandria. Energies are from PBE.

Calculated values
V, Å³/atom: 18.75
ΔH_f (0 K), eV per atom: -0.789
SG: P-3m1 (164)

Unit cell a=4.387 b=4.387 c=6.747 alpha=90.00 beta=90.00 gamma=120.00
Positions (direct):
Nd1 0.000 0.000 0.000
Zn1 0.000 0.000 0.500
Ga1 0.333 0.667 0.701
Ga2 0.667 0.333 0.299
Pt1 0.333 0.667 0.300
Pt2 0.667 0.333 0.700

5.
Here is a relaxed Nd2ZnGa3Pt4 crystal from Alexandria. Energies are from PBE.

Calculated values
V, Å³/atom: 19.25
ΔH_f (0 K), eV per atom: -0.922
SG: P-4m2 (115)

Unit cell a=4.176 b=4.176 c=11.040 alpha=90.00 beta=90.00 gamma=90.00
Positions (direct):
Nd1 0.000 0.500 0.248
Nd2 0.500 0.000 0.752
Zn1 0.500 0.500 0.000
Ga1 0.000 0.000 0.000
Ga2 0.000 0.500 0.633
Ga3 0.500 0.000 0.367
Pt1 0.000 0.000 0.500
Pt2 0.000 0.500 0.860
Pt3 0.500 0.000 0.140
Pt4 0.500 0.500 0.500

6.
Here is a relaxed NdZnGaPt2 crystal from Alexandria. Energies are from PBE.

Calculated values
V, Å³/atom: 19.54
ΔH_f (0 K), eV per atom: -0.860
SG: I-4m2 (119)

Unit cell a=6.614 b=6.614 c=6.614 alpha=144.36 beta=144.36 gamma=51.28
Positions (direct):
Nd1 0.000 0.000 0.000
Zn1 0.750 0.250 0.500
Ga1 0.250 0.750 0.500
Pt1 0.386 0.386 0.000
Pt2 0.614 0.614 0.000

7.
Here is a relaxed NdZn2GaPt crystal from Alexandria. Energies are from PBE.

Calculated values
V, Å³/atom: 19.10
ΔH_f (0 K), eV per atom: -0.593
SG: Imm2 (44)

Unit cell a=6.221 b=6.221 c=6.221 alpha=142.17 beta=139.31 gamma=56.77
Positions (direct):
Nd1 0.000 0.000 0.000
Zn1 0.614 0.614 0.000
Zn2 0.755 0.255 0.500
Ga1 0.385 0.385 0.000
Pt1 0.244 0.744 0.500

8.
Here is a relaxed Nd2ZnGa4Pt3 crystal from Alexandria. Energies are from PBE.

Calculated values
V, Å³/atom: 19.46
ΔH_f (0 K), eV per atom: -0.865
SG: P-4m2 (115)

Unit cell a=4.279 b=4.279 c=10.630 alpha=90.00 beta=90.00 gamma=90.00
Positions (direct):
Nd1 0.000 0.500 0.246
Nd2 0.500 0.000 0.754
Zn1 0.000 0.000 0.500
Ga1 0.000 0.000 0.000
Ga2 0.000 0.500 0.633
Ga3 0.500 0.000 0.367
Ga4 0.500 0.500 0.000
Pt1 0.000 0.500 0.867
Pt2 0.500 0.000 0.133
Pt3 0.500 0.500 0.500

9.
Here is a relaxed NdZnGa3Pt crystal from Alexandria. Energies are from PBE.

Calculated values
V, Å³/atom: 20.35
ΔH_f (0 K), eV per atom: -0.337
SG: Cmcm (63)

Unit cell a=6.860 b=6.860 c=6.206 alpha=90.00 beta=90.00 gamma=123.29
Positions (direct):
Nd1 0.209 0.791 0.750
Nd2 0.791 0.209 0.250
Zn1 0.444 0.556 0.750
Zn2 0.556 0.444 0.250
Ga1 0.204 0.204 0.000
Ga2 0.204 0.204 0.500
Ga3 0.343 0.657 0.250
Ga4 0.657 0.343 0.750
Ga5 0.796 0.796 0.000
Ga6 0.796 0.796 0.500
Pt1 0.137 0.863 0.250
Pt2 0.863 0.137 0.750

10.
Here is a relaxed Nd2ZrGa3Pt4 crystal from Alexandria. Energies are from PBE.

Calculated values
V, Å³/atom: 20.08
ΔH_f (0 K), eV per atom: -0.971
SG: P-4m2 (115)

Unit cell a=4.208 b=4.208 c=11.341 alpha=90.00 beta=90.00 gamma=90.00
Positions (direct):
Nd1 0.000 0.500 0.235
Nd2 0.500 0.000 0.765
Zr1 0.000 0.000 0.500
Ga1 0.000 0.500 0.872
Ga2 0.500 0.000 0.128
Ga3 0.500 0.500 0.500
Pt1 0.000 0.000 0.000
Pt2 0.000 0.500 0.650
Pt3 0.500 0.000 0.350
Pt4 0.500 0.500 0.000

11.
Here is a relaxed NdZrGa2Pt2 crystal from Alexandria. Energies are from PBE.

Calculated values
V, Å³/atom: 20.01
ΔH_f (0 K), eV per atom: -0.986
SG: P-3m1 (164)

Unit cell a=4.434 b=4.434 c=7.050 alpha=90.00 beta=90.00 gamma=120.00
Positions (direct):
Nd1 0.000 0.000 0.000
Zr1 0.000 0.000 0.500
Ga1 0.333 0.667 0.708
Ga2 0.667 0.333 0.292
Pt1 0.333 0.667 0.293
Pt2 0.667 0.333 0.707

12.
Here is a relaxed NdZrGa5Pt2 crystal from Alexandria. Energies are from PBE.

Calculated values
V, Å³/atom: 22.65
ΔH_f (0 K), eV per atom: -0.319
SG: P4/mmm (123)

Unit cell a=4.417 b=4.417 c=10.451 alpha=90.00 beta=90.00 gamma=90.00
Positions (direct):
Nd1 0.000 0.000 0.000
Zr1 0.000 0.000 0.500
Ga1 0.000 0.500 0.329
Ga2 0.000 0.500 0.671
Ga3 0.500 0.000 0.329
Ga4 0.500 0.000 0.671
Ga5 0.500 0.500 0.000
Pt1 0.500 0.500 0.221
Pt2 0.500 0.500 0.779